# RbGd2H

A relaxed structure of RbGd2H (GGA-PBE, the Alexandria database).

Cell: 3.7125 3.7125 10.5576 Å, 79.87 79.87 60.00°
With the nearest neighbours (Å) after each atom.
Fractional positions:
H1 0.5000 0.5000 0.5000  6 Gd 2.52
Gd1 0.1238 0.1238 0.6287  3 H 2.52
Gd2 0.8762 0.8762 0.3713  3 H 2.52
Rb1 0.0000 0.0000 0.0000  6 Rb 3.71, 2 Gd 3.84

Calculated values
The total energy comes out at -8.047 eV/atom. Its density of states at the Fermi level is 1.1441 states/eV/atom.